[1]
# PBE+U K2Co2O5, optimized geometry
data_K2Co2O5
_chemical_formula_sum 'K2 Co2 O5'
_cell_length_a 3.7241
_cell_length_b 3.7241
_cell_length_c 8.3681
_cell_angle_alpha 90.00
_cell_angle_beta 90.00
_cell_angle_gamma 90.00
_symmetry_space_group_name_H-M 'P 4/m m m'
_symmetry_Int_Tables_number 123
_symmetry_space_group_name_Hall '-P 4 2'
loop_
_atom_site_label
_atom_site_type_symbol
_atom_site_fract_x
_atom_site_fract_y
_atom_site_fract_z
_atom_site_occupancy
K1 K 0.0000 0.0000 0.0000 1
K2 K 0.0000 0.0000 0.5000 1
Co1 Co 0.5000 0.5000 0.2214 1
O1 O 0.0000 0.5000 0.2626 1
O2 O 0.5000 0.5000 0.0000 1
# - total energy (eV/atom) = -5.011



[2]
# PBE+U K4Co7O14, optimized geometry
data_K4Co7O14
_chemical_formula_sum 'K8 Co14 O28'
_cell_length_a 7.4843
_cell_length_b 7.4843
_cell_length_c 12.2237
_cell_angle_alpha 90.00
_cell_angle_beta 90.00
_cell_angle_gamma 120.00
_symmetry_space_group_name_H-M 'P 63/m'
_symmetry_Int_Tables_number 176
_symmetry_space_group_name_Hall '-P 6c'
loop_
_atom_site_label
_atom_site_type_symbol
_atom_site_fract_x
_atom_site_fract_y
_atom_site_fract_z
_atom_site_occupancy
K1 K 0.0000 0.0000 0.2500 1
K2 K 0.0326 0.4525 0.2500 1
Co1 Co 0.0000 0.0000 0.0000 1
Co2 Co 0.1427 0.7140 0.0021 1
O1 O 0.0464 0.2385 0.0798 1
O2 O 0.0997 0.4768 0.5763 1
O3 O 0.3333 0.6667 0.0857 1
# - total energy (eV/atom) = -5.510



[3]
# PBE+U KCoO3, optimized geometry
data_KCoO3
_chemical_formula_sum 'K4 Co4 O12'
_cell_length_a 5.5956
_cell_length_b 7.4824
_cell_length_c 5.5959
_cell_angle_alpha 90.00
_cell_angle_beta 90.00
_cell_angle_gamma 90.00
_symmetry_space_group_name_H-M 'P n m a'
_symmetry_Int_Tables_number 62
loop_
_symmetry_equiv_pos_as_xyz
'x,y,z'
'-x,-y,-z'
'-x+1/2,-y,z+1/2'
'x+1/2,y,-z+1/2'
'x+1/2,-y+1/2,-z+1/2'
'-x+1/2,y+1/2,z+1/2'
'-x,y+1/2,-z'
'x,-y+1/2,z'
loop_
_atom_site_label
_atom_site_type_symbol
_atom_site_fract_x
_atom_site_fract_y
_atom_site_fract_z
_atom_site_occupancy
K1 K 0.0000 0.2500 0.0002 1
Co1 Co 0.0000 0.0000 0.5000 1
O1 O 0.0000 0.2500 0.4990 1
O2 O 0.2223 0.0005 0.7221 1
# - total energy (eV/atom) = -4.773